1.
# GGA-PBE PaBeOsN, relaxed
# Crystal system: tetragonal
# Formation energy (no corrections) in meV per atom: -770.8
# Raw total energy in eV per atom: -8.97
data_PaBeOsN
_chemical_formula_sum 'Pa2 Be2 Os2 N2'
_cell_length_a 3.6923
_cell_length_b 3.6923
_cell_length_c 8.0676
_cell_angle_alpha 90.00
_cell_angle_beta 90.00
_cell_angle_gamma 90.00
_space_group_name_H-M_alt 'P 4/n m m'
_space_group_IT_number 129
loop_
_space_group_symop_operation_xyz
'x,y,z'
'-x,-y,-z'
'-y+1/2,x,z'
'y+1/2,-x,-z'
'-x+1/2,-y+1/2,z'
'x+1/2,y+1/2,-z'
'y,-x+1/2,z'
'-y,x+1/2,-z'
'x+1/2,-y,-z'
'-x+1/2,y,z'
'-y,-x,-z'
'y,x,z'
'-x,y+1/2,-z'
'x,-y+1/2,z'
'y+1/2,x+1/2,-z'
'-y+1/2,-x+1/2,z'
loop_
_atom_site_label
_atom_site_fract_x
_atom_site_fract_y
_atom_site_fract_z
Pa1 0.2500 0.2500 0.1652
Be1 0.2500 0.2500 0.6800
Os1 0.2500 0.7500 0.5000
N1 0.2500 0.2500 0.8835

2.
# GGA-PBE LaAlCd, relaxed
# Crystal system: monoclinic
# Raw total energy in eV per atom: -3.61
data_LaAlCd
_chemical_formula_sum 'La4 Al4 Cd4'
_cell_length_a 11.1812
_cell_length_b 4.8514
_cell_length_c 7.8225
_cell_angle_alpha 90.00
_cell_angle_beta 133.02
_cell_angle_gamma 90.00
_space_group_name_H-M_alt 'C 1 2/m 1'
_space_group_IT_number 12
_space_group_name_Hall '-C 2y'
loop_
_atom_site_label
_atom_site_fract_x
_atom_site_fract_y
_atom_site_fract_z
La1 0.0356 0.0000 0.2880
Al1 0.1559 0.5000 0.1096
Cd1 0.1707 0.5000 0.7297

3.
# GGA-PBE Rb3In4Hg2, relaxed
# Crystal system: monoclinic
# Polymorph energy (0 for the lowest one) in meV per atom: 0
# Raw total energy in eV per atom: -1.73
data_Rb3In4Hg2
_chemical_formula_sum 'Rb6 In8 Hg4'
_cell_length_a 13.6777
_cell_length_b 5.1971
_cell_length_c 11.1413
_cell_angle_alpha 90.00
_cell_angle_beta 123.09
_cell_angle_gamma 90.00
_space_group_name_H-M_alt 'C 1 2/m 1'
_space_group_IT_number 12
_space_group_name_Hall '-C 2y'
loop_
_atom_site_label
_atom_site_fract_x
_atom_site_fract_y
_atom_site_fract_z
Rb1 0.0000 0.0000 0.0000
Rb2 0.2187 0.5000 0.6306
In1 0.0208 0.0000 0.6481
In2 0.2410 0.5000 0.0667
Hg1 0.0013 0.5000 0.2329

4.
# GGA-PBE BiCSe2O, relaxed
# Crystal system: tetragonal
# Formation energy (no corrections) in meV per atom: 1395.2
# Raw total energy in eV per atom: -3.61
data_BiCSe2O
_chemical_formula_sum 'Bi1 C1 Se2 O1'
_cell_length_a 4.3152
_cell_length_b 4.3152
_cell_length_c 5.0749
_cell_angle_alpha 90.00
_cell_angle_beta 90.00
_cell_angle_gamma 90.00
_space_group_name_H-M_alt 'P 4/m m m'
_space_group_IT_number 123
_space_group_name_Hall '-P 4 2'
loop_
_atom_site_label
_atom_site_fract_x
_atom_site_fract_y
_atom_site_fract_z
Bi1 0.0000 0.0000 0.0000
C1 0.5000 0.5000 0.0000
Se1 0.0000 0.5000 0.5000
O1 0.0000 0.0000 0.5000

5.
# GGA-PBE Cr2NiHg, relaxed
# Crystal system: orthorhombic
# Raw total energy in eV per atom: -5.92
data_Cr2NiHg
_chemical_formula_sum 'Cr4 Ni2 Hg2'
_cell_length_a 3.0906
_cell_length_b 4.4311
_cell_length_c 8.2433
_cell_angle_alpha 90.00
_cell_angle_beta 90.00
_cell_angle_gamma 90.00
_space_group_name_H-M_alt 'C m m 2'
_space_group_IT_number 35
_space_group_name_Hall 'C 2 -2'
loop_
_atom_site_label
_atom_site_fract_x
_atom_site_fract_y
_atom_site_fract_z
Cr1 0.0000 0.0000 0.0000
Cr2 0.0000 0.5000 0.2050
Ni1 0.0000 0.0000 0.4253
Hg1 0.0000 0.5000 0.7034

6.
# GGA-PBE CaLaNdSm, relaxed
# Crystal system: cubic
# Polymorph energy (0 for the lowest one) in meV per atom: 83
# Raw total energy in eV per atom: -3.99
data_CaLaNdSm
_chemical_formula_sum 'Ca4 La4 Nd4 Sm4'
_cell_length_a 8.3760
_cell_length_b 8.3760
_cell_length_c 8.3760
_cell_angle_alpha 90.00
_cell_angle_beta 90.00
_cell_angle_gamma 90.00
_space_group_name_H-M_alt 'F -4 3 m'
_space_group_IT_number 216
_space_group_name_Hall 'F -4 2 3'
loop_
_atom_site_label
_atom_site_fract_x
_atom_site_fract_y
_atom_site_fract_z
Ca1 0.0000 0.0000 0.0000
La1 0.2500 0.2500 0.7500
Nd1 0.2500 0.2500 0.2500
Sm1 0.0000 0.0000 0.5000